1.
VHgGe after structural relaxation, computed with PBE.

Unit cell a=4.316 b=5.115 c=5.489 alpha=90.00 beta=101.56 gamma=90.00
Atoms (fractional coordinates):
Hg  0.656  0.253  0.944
Hg  0.344  0.753  0.056
V  0.509  0.655  0.563
V  0.491  0.155  0.437
Ge  0.016  0.909  0.569
Ge  0.984  0.409  0.431

Calculated density: 9069 kg/m³
Distance to the lowest polymorph of the same formula: 42.6 kJ/mol of formula units
Energy: -4.54 eV/atom
ΔE_f: 42 kJ/mol of formula units
SG: No. 4

=====

2.
LaCuSi2 after structural relaxation, computed with PBE.

Unit cell a=4.127 b=10.614 c=13.829 alpha=90.00 beta=90.00 gamma=90.00
Atoms (fractional coordinates):
Si  0.250  0.263  0.615
Si  0.250  0.277  0.787
Si  0.750  0.961  0.968
Si  0.750  0.777  0.713
Si  0.750  0.763  0.885
Si  0.750  0.737  0.385
Si  0.250  0.023  0.374
Si  0.750  0.723  0.213
Si  0.250  0.039  0.032
Si  0.250  0.477  0.874
Si  0.250  0.223  0.287
Si  0.250  0.237  0.115
Si  0.750  0.523  0.126
Si  0.750  0.977  0.626
Si  0.250  0.461  0.532
Si  0.750  0.539  0.468
Cu  0.250  0.689  0.799
Cu  0.750  0.311  0.201
Cu  0.750  0.950  0.449
Cu  0.250  0.050  0.551
Cu  0.750  0.189  0.701
Cu  0.250  0.450  0.051
Cu  0.750  0.550  0.949
Cu  0.250  0.811  0.299
La  0.250  0.746  0.051
La  0.250  0.517  0.299
La  0.750  0.254  0.949
La  0.250  0.983  0.799
La  0.750  0.017  0.201
La  0.750  0.246  0.449
La  0.750  0.483  0.701
La  0.250  0.754  0.551

Calculated density: 5672 kg/m³
Energy: -5.57 eV/atom
E_form (uncorrected): -606 meV per atom
SG: No. 62